Record 1
Material: La3CuBr3
Method: DFT, PBE-GGA
State: optimized geometry

Unit cell a=10.561 b=10.561 c=10.561 alpha=109.47 beta=109.47 gamma=109.47
Positions (direct):
La1 0.010 0.019 0.260
La2 0.010 0.490 0.750
La3 0.019 0.260 0.010
La4 0.240 0.260 0.750
La5 0.240 0.481 0.490
La6 0.260 0.010 0.019
La7 0.260 0.750 0.240
La8 0.481 0.490 0.240
La9 0.490 0.240 0.481
La10 0.490 0.750 0.010
La11 0.750 0.010 0.490
La12 0.750 0.240 0.260
Cu1 0.000 0.250 0.500
Cu2 0.250 0.250 0.250
Cu3 0.250 0.500 0.000
Cu4 0.500 0.000 0.250
Br1 0.250 0.758 0.742
Br2 0.250 0.992 0.508
Br3 0.508 0.250 0.992
Br4 0.508 0.758 0.515
Br5 0.515 0.508 0.758
Br6 0.742 0.250 0.758
Br7 0.742 0.992 0.985
Br8 0.758 0.515 0.508
Br9 0.758 0.742 0.250
Br10 0.985 0.742 0.992
Br11 0.992 0.508 0.250
Br12 0.992 0.985 0.742

Results
total magnetization	0.0006	μB/atom
E	-4.617	eV per atom
ΔE_f (raw)	-1.20	eV/atom

Record 2
Material: LiSm2GaTe5
Method: DFT, PBE-GGA
State: optimized geometry

Unit cell a=9.859 b=9.859 c=12.791 alpha=90.00 beta=90.00 gamma=155.11
Positions (direct):
Li1 0.210 0.790 0.500
Li2 0.790 0.210 0.000
Sm1 0.118 0.882 0.163
Sm2 0.132 0.868 0.786
Sm3 0.868 0.132 0.286
Sm4 0.882 0.118 0.663
Ga1 0.426 0.574 0.941
Ga2 0.574 0.426 0.441
Te1 0.043 0.957 0.558
Te2 0.289 0.711 0.150
Te3 0.312 0.688 0.825
Te4 0.356 0.644 0.479
Te5 0.500 0.500 0.265
Te6 0.500 0.500 0.765
Te7 0.644 0.356 0.979
Te8 0.688 0.312 0.325
Te9 0.711 0.289 0.650
Te10 0.957 0.043 0.058

Results
total magnetization	0.0000	μB/atom
E	-4.381	eV per atom
ΔE_f (raw)	-1.04	eV/atom

Record 3
Material: K2YPaS4
Method: DFT, PBE-GGA
State: optimized geometry

Unit cell a=7.017 b=4.017 c=7.788 alpha=90.00 beta=107.20 gamma=90.00
Positions (direct):
K1 0.000 0.000 0.000
K2 0.500 0.500 0.000
Y1 0.000 0.500 0.500
Pa1 0.500 0.000 0.500
S1 0.237 0.000 0.704
S2 0.264 0.500 0.293
S3 0.736 0.500 0.707
S4 0.763 0.000 0.296

Results
total magnetization	0.2432	μB/atom
E	-5.997	eV per atom
ΔE_f (raw)	-1.66	eV/atom

Record 4
Material: LiHgCl2
Method: DFT, PBE-GGA
State: optimized geometry

Unit cell a=3.842 b=3.842 c=7.733 alpha=90.00 beta=90.00 gamma=121.64
Positions (direct):
Li1 0.000 0.000 0.000
Hg1 0.000 0.000 0.500
Cl1 0.500 0.500 0.207
Cl2 0.500 0.500 0.793

Results
excess energy over the best structure of this formula in the dataset	0.107	eV/atom
total magnetization	0.0000	μB/atom
E	-2.324	eV per atom
ΔE_f (raw)	-0.85	eV/atom

Record 5
Material: InTe2NCl
Method: DFT, PBE-GGA
State: optimized geometry

Unit cell a=5.932 b=5.932 c=3.999 alpha=90.00 beta=90.00 gamma=90.00
Positions (direct):
In1 0.000 0.000 0.000
Te1 0.000 0.500 0.000
Te2 0.500 0.000 0.000
N1 0.000 0.000 0.500
Cl1 0.500 0.500 0.500

Results
excess energy over the best structure of this formula in the dataset	0.000	eV/atom
total magnetization	0.0000	μB/atom
E	-2.855	eV per atom
ΔE_f (raw)	0.98	eV/atom

Record 6
Material: SmZrPdRu
Method: DFT, PBE-GGA
State: optimized geometry

Unit cell a=4.830 b=4.830 c=4.830 alpha=60.00 beta=60.00 gamma=60.00
Positions (direct):
Sm1 0.000 0.000 0.000
Zr1 0.500 0.500 0.500
Pd1 0.250 0.250 0.250
Ru1 0.750 0.750 0.750

Results
total magnetization	0.0000	μB/atom
E	-7.418	eV per atom
calculated formation energy	-0.4838	eV/atom

Record 7
Material: In8Ru
Method: DFT, PBE-GGA
State: optimized geometry

Unit cell a=7.507 b=7.507 c=7.507 alpha=94.41 beta=94.41 gamma=147.81
Positions (direct):
In1 0.000 0.324 0.324
In2 0.000 0.676 0.676
In3 0.324 0.000 0.324
In4 0.350 0.350 0.699
In5 0.350 0.650 0.000
In6 0.650 0.350 0.000
In7 0.650 0.650 0.301
In8 0.676 0.000 0.676
Ru1 0.000 0.000 0.000

Results
total magnetization	0.0000	μB/atom
E	-3.309	eV per atom
calculated formation energy	0.1558	eV/atom

Record 8
Material: Er2Tm2In
Method: DFT, PBE-GGA
State: optimized geometry

Unit cell a=5.920 b=5.920 c=7.661 alpha=130.15 beta=130.15 gamma=47.40
Positions (direct):
Er1 0.106 0.106 0.306
Er2 0.894 0.894 0.694
Tm1 0.300 0.300 0.907
Tm2 0.700 0.700 0.093
In1 0.500 0.500 0.500

Results
excess energy over the best structure of this formula in the dataset	0.000	eV/atom
total magnetization	0.0000	μB/atom
E	-4.319	eV per atom
calculated formation energy	-0.1574	eV/atom

Record 9
Material: RbNa2AlCr
Method: DFT, PBE-GGA
State: optimized geometry

Unit cell a=5.942 b=5.942 c=5.175 alpha=90.00 beta=90.00 gamma=90.00
Positions (direct):
Rb1 0.000 0.000 0.000
Na1 0.000 0.500 0.500
Na2 0.500 0.000 0.500
Al1 0.500 0.500 0.500
Cr1 0.500 0.500 0.000

Results
total magnetization	0.8790	μB/atom
E	-2.899	eV per atom
calculated formation energy	0.4955	eV/atom

Record 10
Material: MgCuBr
Method: DFT, PBE-GGA
State: optimized geometry

Unit cell a=3.581 b=3.581 c=5.668 alpha=90.00 beta=90.00 gamma=120.00
Positions (direct):
Mg1 0.000 0.000 0.000
Cu1 0.667 0.333 0.699
Br1 0.333 0.667 0.329

Results
excess energy over the best structure of this formula in the dataset	0.000	eV/atom
total magnetization	0.0000	μB/atom
E	-2.732	eV per atom
ΔE_f (raw)	-0.28	eV/atom

Record 11
Material: CaIn2Pt2
Method: DFT, PBE-GGA
State: optimized geometry

Unit cell a=7.650 b=7.650 c=3.562 alpha=90.00 beta=90.00 gamma=90.00
Positions (direct):
Ca1 0.000 0.000 0.000
Ca2 0.500 0.500 0.000
In1 0.158 0.342 0.500
In2 0.342 0.842 0.500
In3 0.658 0.158 0.500
In4 0.842 0.658 0.500
Pt1 0.137 0.637 0.000
Pt2 0.363 0.137 0.000
Pt3 0.637 0.863 0.000
Pt4 0.863 0.363 0.000

Results
excess energy over the best structure of this formula in the dataset	0.089	eV/atom
total magnetization	0.0000	μB/atom
E	-4.498	eV per atom
calculated formation energy	-0.5856	eV/atom

Record 12
Material: Rb2ReMoPt
Method: DFT, PBE-GGA
State: optimized geometry

Unit cell a=6.707 b=6.707 c=4.774 alpha=90.00 beta=90.00 gamma=90.00
Positions (direct):
Rb1 0.000 0.500 0.000
Rb2 0.500 0.000 0.000
Re1 0.000 0.000 0.500
Mo1 0.500 0.500 0.000
Pt1 0.500 0.500 0.500

Results
total magnetization	1.5757	μB/atom
E	-4.077	eV per atom
calculated formation energy	2.1735	eV/atom